# MnGe3Mo | Alexandria via LeMat-Bulk | PBE-GGA | optimized geometry
data_MnGe3Mo
_symmetry_space_group_name_H-M 'P m -3 m'
_symmetry_Int_Tables_number 221
_symmetry_space_group_name_Hall '-P 4 2 3'
_cell_length_a 4.469
_cell_length_b 4.469
_cell_length_c 4.469
_cell_angle_alpha 90.00
_cell_angle_beta 90.00
_cell_angle_gamma 90.00
loop_
_atom_site_label
_atom_site_type_symbol
_atom_site_fract_x
_atom_site_fract_y
_atom_site_fract_z
Mn1 Mn 0.000 0.000 0.000
Ge1 Ge 0.000 0.000 0.500
Mo1 Mo 0.500 0.500 0.500
# Energy of formation, meV per atom: 810
# Offset from the most stable computed form, kJ per mole of atoms: 0.0
# Crystal system: cubic